DFT (SCAN) results for KBe2Te at its PBEsol-relaxed geometry.

Geometry as CIF:
```
data_KBe2Te
_chemical_formula_sum 'K2 Be4 Te2'
_cell_length_a 4.142
_cell_length_b 4.142
_cell_length_c 10.054
_cell_angle_alpha 90.00
_cell_angle_beta 90.00
_cell_angle_gamma 90.00
_space_group_name_H-M_alt 'I -4 m 2'
_space_group_IT_number 119
_space_group_name_Hall 'I -4 -2'
loop_
_atom_site_label
_atom_site_fract_x
_atom_site_fract_y
_atom_site_fract_z
K1 0.000 0.000 0.000
Be1 0.000 0.000 0.500
Be2 0.000 0.500 0.750
Te1 0.000 0.500 0.250
```

## Properties
The value obtained for the uncorrected energy is -12.70 eV per atom. As for the density of states at the Fermi level: 0.4721 states/eV/atom.